CsLi7Ni2O6 | Alexandria | PBE with a Hubbard U | optimized geometry; DOS(E_F) = 0.00 states/eV per cell; uncorrected energy = -4.55 eV per atom
1.0
5.096 -1.854 0.000
5.096 1.854 0.000
-0.616 0.000 10.185
Cs Li Ni O
1 7 2 6
direct
0.000 0.000 0.000
0.171 0.171 0.270
0.249 0.249 0.584
0.269 0.269 0.896
0.500 0.500 0.500
0.731 0.731 0.104
0.751 0.751 0.416
0.829 0.829 0.730
0.421 0.421 0.257
0.579 0.579 0.743
0.299 0.299 0.114
0.330 0.330 0.412
0.396 0.396 0.738
0.604 0.604 0.262
0.670 0.670 0.588
0.701 0.701 0.886